Entry 1:
# AcSnGeO6

A geometry-optimized AcSnGeO6 structure (GGA-PBE, Alexandria via LeMat-Bulk).

Cell: 5.3053 5.3053 5.3763 Å, 90.00 90.00 120.00°
Space group P312 (No. 149)
Unique sites:
Ac (0.0000, 0.0000, 0.0000) x1
Sn (0.3333, 0.6667, 0.5000) x1
Ge (0.6667, 0.3333, 0.5000) x1
O (0.3856, 0.0227, 0.7066) x6

Summary:
Raw total energy   -60.40 eV for the cell shown
Formation energy (no corrections)   -1.992 eV per atom
DOS(E_F)   7.63 states/eV/f.u.

Entry 2:
# ThPaPd2

A geometry-optimized ThPaPd2 structure (GGA-PBE, Alexandria via LeMat-Bulk).

Cell: 3.589 3.589 7.074 Å, 90.00 90.00 90.00°
Space group P4/mmm (No. 123)
Unique sites:
Th (0.000, 0.000, 0.000) x1
Pa (0.000, 0.000, 0.500) x1
Pd (0.500, 0.500, 0.277) x2

Summary:
Raw total energy   -29.23 eV for the cell shown
DOS(E_F)   6.10 states/eV/f.u.
Offset from the most stable computed form   0 meV per atom

Entry 3:
# MgTl4In5

A geometry-optimized MgTl4In5 structure (GGA-PBE, Alexandria via LeMat-Bulk).

Cell: 3.637 4.435 17.313 Å, 90.00 90.00 90.00°
Space group Pmmm (No. 47)
Unique sites:
Mg (0.000, 0.000, 0.000) x1
Tl (0.000, 0.000, 0.190) x2
Tl (0.000, 0.000, 0.395) x2
In (0.500, 0.500, 0.091) x2
In (0.500, 0.500, 0.293) x2
In (0.500, 0.500, 0.500) x1

Summary:
Raw total energy   -24.62 eV for the cell shown
DOS(E_F)   3.41 states/eV/f.u.

Entry 4:
# BaTi3O

A geometry-optimized BaTi3O structure (GGA-PBE, Alexandria via LeMat-Bulk).

Cell: 4.968 4.968 4.968 Å, 90.00 90.00 90.00°
Space group Pm-3m (No. 221)
Unique sites:
Ba (0.000, 0.000, 0.000) x1
Ti (0.000, 0.000, 0.500) x3
O (0.500, 0.500, 0.500) x1

Summary:
Raw total energy   -19.32 eV for the cell shown
Formation energy (no corrections)   2.249 eV per atom
DOS(E_F)   6.03 states/eV/f.u.
Offset from the most stable computed form   2514 meV per atom

Entry 5:
# NdMgPd4

A geometry-optimized NdMgPd4 structure (GGA-PBE, Alexandria via LeMat-Bulk).

Cell: 4.198 17.888 5.988 Å, 90.00 90.00 90.00°
Space group Cmcm (No. 63)
Unique sites:
Nd (0.000, 0.089, 0.250) x4
Mg (0.000, 0.226, 0.750) x4
Pd (0.000, 0.077, 0.750) x4
Pd (0.000, 0.339, 0.023) x8
Pd (0.000, 0.500, 0.000) x4

Summary:
Raw total energy   -124.67 eV for the cell shown
DOS(E_F)   1.59 states/eV/f.u.

Entry 6:
# NaPuBi2

A geometry-optimized NaPuBi2 structure (GGA-PBE, Alexandria via LeMat-Bulk).

Cell: 4.8819 4.8819 19.6790 Å, 90.00 90.00 120.00°
Space group R3m (No. 160, hexagonal axes)
Unique sites:
Na (0.0000, 0.0000, 0.0000) x3
Pu (0.0000, 0.0000, 0.1800) x3
Bi (0.0000, 0.0000, 0.5925) x3
Bi (0.0000, 0.0000, 0.7606) x3

Summary:
Raw total energy   -72.20 eV for the cell shown
DOS(E_F)   16.39 states/eV/f.u.
Offset from the most stable computed form   190 meV per atom

Entry 7:
# Y2Cu5Ni5

A geometry-optimized Y2Cu5Ni5 structure (GGA-PBE, Alexandria via LeMat-Bulk).

Cell: 4.050 4.936 8.540 Å, 90.00 90.00 90.00°
Space group Pmmm (No. 47)
Unique sites:
Y (0.000, 0.000, 0.000) x1
Y (0.000, 0.500, 0.500) x1
Cu (0.500, 0.000, 0.500) x1
Cu (0.500, 0.250, 0.248) x4
Ni (0.000, 0.000, 0.335) x2
Ni (0.000, 0.500, 0.162) x2
Ni (0.500, 0.500, 0.000) x1

Summary:
Raw total energy   -65.63 eV for the cell shown
DOS(E_F)   4.57 states/eV/f.u.
Offset from the most stable computed form   0 meV per atom

Entry 8:
# Nd4Ga16Ni3

A geometry-optimized Nd4Ga16Ni3 structure (GGA-PBE, Alexandria via LeMat-Bulk).

Cell: 6.176 6.176 11.258 Å, 90.00 90.00 90.00°
Space group P4/mmm (No. 123)
Unique sites:
Nd (0.000, 0.500, 0.194) x4
Ga (0.000, 0.000, 0.197) x2
Ga (0.217, 0.217, 0.000) x4
Ga (0.246, 0.246, 0.384) x8
Ga (0.500, 0.500, 0.227) x2
Ni (0.000, 0.500, 0.500) x2
Ni (0.500, 0.500, 0.000) x1

Summary:
Raw total energy   -96.59 eV for the cell shown
DOS(E_F)   8.05 states/eV/f.u.